This record from Alexandria describes crystalline ZnCoO2 at its relaxed geometry. The functional is PBE with a Hubbard U.

The value obtained for the magnetic moment is 3.0 μB/f.u. For the total energy, the calculation gives -5.21 eV per atom. The calculated density is 6.5 g cm⁻³.

It has space group R-3m (No. 166, hexagonal axes), with a = 3.0527 Å, b = 3.0527 Å, c = 14.9083 Å, α = 90.00°, β = 90.00° and γ = 120.00°. The asymmetric unit holds Zn at (0.0000, 0.0000, 0.0000), Co at (0.0000, 0.0000, 0.5000) and O at (0.0000, 0.0000, 0.2494).